Arrangement i

## AsW2Se (PBE)

Data for a geometry-optimized AsW2Se structure.

Structure (POSCAR):
```
AsW2Se
1.0
1.555 0.898 9.526
-1.555 0.898 9.526
0.000 -1.795 9.526
As W Se
1 2 1
Cartesian
0.000 0.000 0.000 As
0.000 0.000 7.631 W
0.000 0.000 15.000 W
0.000 0.000 22.748 Se
```

Calculated values
Magnetic moment, μB per cell: 0.000

Arrangement ii

## AsW2Se (PBE)

Data for a geometry-optimized AsW2Se structure.

Structure (POSCAR):
```
AsW2Se
1.0
3.125 0.000 0.000
0.000 4.596 0.000
0.000 0.000 4.540
As W Se
1 2 1
Cartesian
0.000 0.000 0.000 As
0.000 2.298 1.205 W
1.562 0.000 2.147 W
1.562 2.298 3.343 Se
```

Calculated values
Magnetic moment, μB per cell: 0.000

Order of stability, best first: arrangement i, arrangement ii

Arrangement i

## As3WSe (PBE)

Data for a geometry-optimized As3WSe structure.

Structure (POSCAR):
```
As3WSe
1.0
4.877 0.000 0.000
0.000 4.877 0.000
0.000 0.000 4.877
As W Se
3 1 1
Cartesian
0.000 0.000 2.439 As
0.000 2.439 0.000 As
2.439 0.000 0.000 As
0.000 0.000 0.000 W
2.439 2.439 2.439 Se
```

Calculated values
Magnetic moment, μB per cell: 0.000

Arrangement ii

## As3WSe (PBE)

Data for a geometry-optimized As3WSe structure.

Structure (POSCAR):
```
As3WSe
1.0
4.864 0.000 0.000
0.000 4.864 0.000
0.000 0.000 4.864
As W Se
3 1 1
Cartesian
0.000 0.000 2.432 As
0.000 2.432 0.000 As
2.432 0.000 0.000 As
2.432 2.432 2.432 W
0.000 0.000 0.000 Se
```

Calculated values
Magnetic moment, μB per cell: 2.667

Order of stability, best first: arrangement i, arrangement ii

Arrangement i

## YAsWSe2 (PBE)

Data for a geometry-optimized YAsWSe2 structure.

Structure (POSCAR):
```
YAsWSe2
1.0
5.330 0.000 0.000
0.000 5.330 0.000
0.000 0.000 5.411
Y As W Se
1 1 1 2
Cartesian
0.000 0.000 0.000 Y
0.000 0.000 2.706 As
2.665 2.665 2.706 W
0.000 2.665 0.000 Se
2.665 0.000 0.000 Se
```

Calculated values
Magnetic moment, μB per cell: 2.944

Arrangement ii

## YAsWSe2 (PBE)

Data for a geometry-optimized YAsWSe2 structure.

Structure (POSCAR):
```
YAsWSe2
1.0
4.939 0.000 0.000
0.000 4.939 0.000
0.000 0.000 4.940
Y As W Se
1 1 1 2
Cartesian
0.000 0.000 0.000 Y
2.470 2.470 0.000 As
2.470 2.470 2.470 W
0.000 2.470 2.470 Se
2.470 0.000 2.470 Se
```

Calculated values
Magnetic moment, μB per cell: 0.002

Order of stability, best first: arrangement ii, arrangement i

Arrangement i

## ZnAs2WSe (PBE)

Data for a geometry-optimized ZnAs2WSe structure.

Structure (POSCAR):
```
ZnAs2WSe
1.0
4.974 0.000 0.000
0.000 4.974 0.000
0.000 0.000 4.856
Zn As W Se
1 2 1 1
Cartesian
0.000 0.000 0.000 Zn
0.000 2.487 2.428 As
2.487 0.000 2.428 As
2.487 2.487 2.428 W
2.487 2.487 0.000 Se
```

Calculated values
Magnetic moment, μB per cell: 0.000

Arrangement ii

## ZnAs2WSe (PBE)

Data for a geometry-optimized ZnAs2WSe structure.

Structure (POSCAR):
```
ZnAs2WSe
1.0
4.653 0.000 0.000
0.000 4.653 0.000
0.000 0.000 4.764
Zn As W Se
1 2 1 1
Cartesian
0.000 0.000 0.000 Zn
0.000 2.326 0.000 As
2.326 0.000 0.000 As
2.326 2.326 2.382 W
0.000 0.000 2.382 Se
```

Calculated values
Magnetic moment, μB per cell: 0.023

Order of stability, best first: arrangement i, arrangement ii

Arrangement i

## ZrAsWSe2 (PBE)

Data for a geometry-optimized ZrAsWSe2 structure.

Structure (POSCAR):
```
ZrAsWSe2
1.0
4.891 0.000 0.000
0.000 4.891 0.000
0.000 0.000 4.918
Zr As W Se
1 1 1 2
Cartesian
0.000 0.000 0.000 Zr
2.446 2.446 0.000 As
2.446 2.446 2.459 W
0.000 2.446 2.459 Se
2.446 0.000 2.459 Se
```

Calculated values
Magnetic moment, μB per cell: 1.735

Arrangement ii

## ZrAsWSe2 (PBE)

Data for a geometry-optimized ZrAsWSe2 structure.

Structure (POSCAR):
```
ZrAsWSe2
1.0
5.098 0.000 0.000
0.000 5.098 0.000
0.000 0.000 5.264
Zr As W Se
1 1 1 2
Cartesian
0.000 0.000 0.000 Zr
0.000 0.000 2.632 As
2.549 2.549 2.632 W
0.000 2.549 0.000 Se
2.549 0.000 0.000 Se
```

Calculated values
Magnetic moment, μB per cell: 3.420

Order of stability, best first: arrangement i, arrangement ii

Arrangement i

## YAs3Se (PBE)

Data for a geometry-optimized YAs3Se structure.

Structure (POSCAR):
```
YAs3Se
1.0
5.413 0.000 0.000
0.000 5.413 0.000
0.000 0.000 5.413
Y As Se
1 3 1
Cartesian
0.000 0.000 0.000 Y
0.000 0.000 2.706 As
0.000 2.706 0.000 As
2.706 0.000 0.000 As
2.706 2.706 2.706 Se
```

Calculated values
Magnetic moment, μB per cell: 1.657

Arrangement ii

## YAs3Se (PBE)

Data for a geometry-optimized YAs3Se structure.

Structure (POSCAR):
```
YAs3Se
1.0
4.985 0.000 0.000
0.000 4.985 0.000
0.000 0.000 4.985
Y As Se
1 3 1
Cartesian
0.000 0.000 0.000 Y
0.000 2.492 2.492 As
2.492 0.000 2.492 As
2.492 2.492 0.000 As
2.492 2.492 2.492 Se
```

Calculated values
Magnetic moment, μB per cell: 0.000

Order of stability, best first: arrangement ii, arrangement i